No. 1
5
Lattice="5.414 0.000 0.000 0.000 5.414 0.000 0.000 0.000 5.414" Properties=species:S:1:pos:R:3 comment="La3TcS, optimized geometry, DFT PBE" rho_g_cm3=5.72 dos_ef_per_ev_cell=6.7 crystal_system=cubic raw_formation_energy_mev_per_atom=-239 pbc="T T T"
La 0.000 0.000 2.707
La 0.000 2.707 0.000
La 2.707 0.000 0.000
Tc 0.000 0.000 0.000
S 2.707 2.707 2.707

No. 2
5
Lattice="4.532 0.000 0.000 0.000 4.532 0.000 0.000 0.000 4.207" Properties=species:S:1:pos:R:3 comment="TiCr2GaFe, optimized geometry, DFT PBE" formation_enthalpy_0k_mev_per_atom=1229 rho_g_cm3=5.33 dos_ef_per_ev_cell=4.0 crystal_system=tetragonal pbc="T T T"
Ti 0.000 0.000 0.000
Cr 0.000 2.266 0.000
Cr 2.266 0.000 0.000
Ga 2.266 2.266 2.103
Fe 0.000 0.000 2.103

No. 3
4
Lattice="1.569 0.906 11.534 -1.569 0.906 11.534 0.000 -1.812 11.534" Properties=species:S:1:pos:R:3 comment="Ce2NbTl, optimized geometry, DFT PBE" formation_enthalpy_0k_mev_per_atom=312 rho_g_cm3=9.75 dos_ef_per_ev_cell=9.1 crystal_system=trigonal pbc="T T T"
Ce 0.000 0.000 2.813
Ce 0.000 0.000 31.790
Nb 0.000 0.000 0.000
Tl 0.000 0.000 17.301

No. 4
5
Lattice="5.024 0.000 0.000 0.000 5.024 0.000 0.000 0.000 5.024" Properties=species:S:1:pos:R:3 comment="AlTlPt3, optimized geometry, DFT PBE" formation_enthalpy_0k_mev_per_atom=1254 rho_g_cm3=10.69 dos_ef_per_ev_cell=6.2 crystal_system=cubic pbc="T T T"
Al 0.000 0.000 0.000
Tl 2.512 2.512 2.512
Pt 0.000 2.512 2.512
Pt 2.512 0.000 2.512
Pt 2.512 2.512 0.000

No. 5
20
Lattice="10.334 0.000 0.000 0.000 10.334 0.000 0.000 0.000 3.105" Properties=species:S:1:pos:R:3 comment="Ce2V2GaRu5, optimized geometry, DFT PBE" formation_enthalpy_0k_mev_per_atom=-174 rho_g_cm3=9.59 dos_ef_per_ev_cell=18.4 crystal_system=tetragonal pbc="T T T"
Ce 1.860 3.307 0.000
Ce 3.307 8.474 0.000
Ce 7.027 1.860 0.000
Ce 8.474 7.027 0.000
V 1.432 6.600 0.000
V 3.735 1.432 0.000
V 6.600 8.902 0.000
V 8.902 3.735 0.000
Ga 0.000 0.000 0.000
Ga 5.167 5.167 0.000
Ru 0.000 5.167 1.552
Ru 0.396 8.221 1.552
Ru 2.113 0.396 1.552
Ru 3.054 5.563 1.552
Ru 4.771 3.054 1.552
Ru 5.167 0.000 1.552
Ru 5.563 7.280 1.552
Ru 7.280 4.771 1.552
Ru 8.221 9.938 1.552
Ru 9.938 2.113 1.552

No. 6
4
Lattice="2.030 1.172 8.139 -2.030 1.172 8.139 0.000 -2.344 8.139" Properties=species:S:1:pos:R:3 comment="SrCaAs2, optimized geometry, DFT PBE" formation_enthalpy_0k_mev_per_atom=-787 rho_g_cm3=3.97 dos_ef_per_ev_cell=4.2 crystal_system=trigonal pbc="T T T"
Sr 0.000 0.000 0.000
Ca 0.000 0.000 12.208
As 0.000 0.000 6.015
As 0.000 0.000 18.402

No. 7
6
Lattice="3.026 0.000 0.000 -1.513 2.620 0.000 0.000 0.000 12.540" Properties=species:S:1:pos:R:3 comment="InGaO, optimized geometry, DFT PBE" rho_g_cm3=6.70 dos_ef_per_ev_cell=1.5 crystal_system=hexagonal raw_formation_energy_mev_per_atom=-630 pbc="T T T"
In 0.000 0.000 2.897
In 0.000 0.000 9.644
Ga 0.000 0.000 6.270
Ga 1.513 0.873 0.000
O 1.513 0.873 5.076
O 1.513 0.873 7.464

No. 8
4
Lattice="0.000 3.482 3.482 3.482 0.000 3.482 3.482 3.482 0.000" Properties=species:S:1:pos:R:3 comment="ThInNiAg, optimized geometry, DFT PBE" formation_enthalpy_0k_mev_per_atom=-233 rho_g_cm3=10.09 dos_ef_per_ev_cell=3.2 crystal_system=cubic pbc="T T T"
Th 0.000 0.000 0.000
In 3.482 3.482 3.482
Ni 1.741 1.741 1.741
Ag 5.224 5.224 5.224

No. 9
5
Lattice="5.118 0.000 0.000 0.000 5.118 0.000 0.000 0.000 4.477" Properties=species:S:1:pos:R:3 comment="LaHf2BePd, optimized geometry, DFT PBE" formation_enthalpy_0k_mev_per_atom=300 rho_g_cm3=8.66 dos_ef_per_ev_cell=8.6 crystal_system=tetragonal pbc="T T T"
La 0.000 0.000 0.000
Hf 0.000 2.559 2.238
Hf 2.559 0.000 2.238
Be 2.559 2.559 0.000
Pd 2.559 2.559 2.238

No. 10
3
Lattice="4.101 0.000 0.000 -2.050 3.551 0.000 0.000 0.000 6.701" Properties=species:S:1:pos:R:3 comment="LaGdAs, optimized geometry, DFT PBE" formation_enthalpy_0k_mev_per_atom=-895 rho_g_cm3=6.31 dos_ef_per_ev_cell=4.3 crystal_system=trigonal pbc="T T T"
La 0.000 0.000 0.000
Gd 2.050 1.184 3.470
As 0.000 2.368 1.829

No. 11
12
Lattice="6.992 0.000 0.000 0.002 7.768 0.000 3.478 2.299 8.158" Properties=species:S:1:pos:R:3 comment="NpHBr4, optimized geometry, DFT PBE" rho_g_cm3=4.18 dos_ef_per_ev_cell=12.8 crystal_system=triclinic pbc="T T T"
Np 0.000 0.000 0.000
Np 3.497 3.884 0.000
H 2.827 6.974 4.081
H 7.645 3.093 4.077
Br 1.325 5.451 1.027
Br 2.174 1.567 1.026
Br 4.659 2.022 5.802
Br 5.792 5.905 5.802
Br 4.679 4.162 2.356
Br 5.813 8.045 2.356
Br 8.298 8.500 7.132
Br 9.147 4.615 7.131

No. 12
6
Lattice="5.443 0.000 0.000 -2.722 4.714 0.000 0.000 0.000 6.664" Properties=species:S:1:pos:R:3 comment="Pm2PrCd3, optimized geometry, DFT PBE" formation_enthalpy_0k_mev_per_atom=-320 rho_g_cm3=7.46 dos_ef_per_ev_cell=6.5 crystal_system=trigonal pbc="T T T"
Pm 0.000 3.143 1.099
Pm 2.722 1.571 5.566
Pr 0.000 0.000 3.332
Cd 0.000 0.000 0.000
Cd 0.000 3.143 4.459
Cd 2.722 1.571 2.205

No. 13
10
Lattice="7.620 0.000 0.000 0.000 7.620 0.000 0.000 0.000 4.023" Properties=species:S:1:pos:R:3 comment="HgSb2Au2, optimized geometry, DFT PBE" rho_g_cm3=11.91 dos_ef_per_ev_cell=5.7 crystal_system=tetragonal raw_formation_energy_mev_per_atom=108 pbc="T T T"
Hg 0.000 0.000 0.000
Hg 3.810 3.810 0.000
Sb 1.292 2.518 2.012
Sb 2.518 6.328 2.012
Sb 5.102 1.292 2.012
Sb 6.328 5.102 2.012
Au 1.013 4.823 0.000
Au 2.797 1.013 0.000
Au 4.823 6.607 0.000
Au 6.607 2.797 0.000

No. 14
18
Lattice="8.159 -3.334 0.000 8.159 3.334 0.000 -3.623 0.000 10.558" Properties=species:S:1:pos:R:3 comment="Y3Er5Tm, optimized geometry, DFT PBE" formation_enthalpy_0k_mev_per_atom=184 rho_g_cm3=7.35 dos_ef_per_ev_cell=27.3 crystal_system=monoclinic pbc="T T T"
Y 0.000 0.000 0.000
Y -1.812 0.000 5.279
Y 1.510 0.806 3.922
Y -0.301 -0.806 9.201
Y 12.997 0.806 1.357
Y 11.185 -0.806 6.636
Er 3.816 0.848 1.529
Er 7.253 1.806 2.639
Er 2.952 0.061 10.072
Er 2.004 -0.848 6.808
Er 4.764 -0.061 4.793
Er 7.931 0.061 5.765
Er 10.691 0.848 3.750
Er 9.743 -0.061 0.486
Er 5.442 -1.806 7.918
Er 8.879 -0.848 9.029
Tm 5.442 1.211 7.918
Tm 7.253 -1.211 2.639

No. 15
7
Lattice="-3.401 3.401 2.898 3.401 -3.401 2.898 3.401 3.401 -2.898" Properties=species:S:1:pos:R:3 comment="NaAs2O4, optimized geometry, DFT PBE" rho_g_cm3=2.93 dos_ef_per_ev_cell=2.0 crystal_system=tetragonal raw_formation_energy_mev_per_atom=-823 pbc="T T T"
Na 0.000 0.000 0.000
As 3.401 0.000 1.449
As 0.000 3.401 1.449
O 2.264 0.705 0.000
O 2.696 -1.136 2.898
O 0.705 4.537 0.000
O 1.136 2.696 2.898

No. 16
22
Lattice="4.922 2.842 3.922 -4.922 2.842 3.922 0.000 -5.684 3.922" Properties=species:S:1:pos:R:3 comment="Sr7CaIr2O12, optimized geometry, DFT PBE" rho_g_cm3=6.20 dos_ef_per_ev_cell=11.8 crystal_system=trigonal raw_formation_energy_mev_per_atom=-2293 pbc="T T T"
Sr 0.000 0.000 0.000
Sr -1.799 -2.568 3.922
Sr -3.572 0.000 5.883
Sr -1.324 2.842 3.922
Sr 1.786 -3.094 5.883
Sr 3.123 -0.274 3.922
Sr 1.786 3.094 5.883
Ca 0.000 0.000 5.883
Ir 0.000 0.000 2.984
Ir 0.000 0.000 8.782
O -3.242 -2.623 6.058
O -0.650 -4.119 5.708
O -1.659 0.217 4.200
O -3.242 2.623 5.708
O 0.642 -1.545 4.200
O -1.659 -0.217 7.566
O 1.017 1.328 4.200
O 1.017 -1.328 7.566
O -0.650 4.119 6.058
O 0.642 1.545 7.566
O 3.892 -1.496 6.058
O 3.892 1.496 5.708

No. 17
12
Lattice="8.169 -3.659 0.000 8.169 3.659 0.000 -1.307 0.000 7.326" Properties=species:S:1:pos:R:3 comment="RbBi4Rh, optimized geometry, DFT PBE" formation_enthalpy_0k_mev_per_atom=-177 rho_g_cm3=7.77 dos_ef_per_ev_cell=4.4 crystal_system=monoclinic pbc="T T T"
Rb 3.257 0.000 1.195
Rb 11.773 0.000 6.131
Bi 5.976 1.794 3.263
Bi 8.169 1.646 0.000
Bi 4.495 0.000 5.583
Bi 9.054 1.794 4.063
Bi 5.976 -1.794 3.263
Bi 10.535 0.000 1.743
Bi 8.169 -1.646 0.000
Bi 9.054 -1.794 4.063
Rh 7.234 0.000 5.080
Rh 7.797 0.000 2.246

No. 18
8
Lattice="2.197 -11.640 0.000 2.197 11.640 0.000 0.000 0.000 4.182" Properties=species:S:1:pos:R:3 comment="Tb2GeSb, optimized geometry, DFT PBE" rho_g_cm3=7.96 dos_ef_per_ev_cell=3.1 crystal_system=orthorhombic raw_formation_energy_mev_per_atom=-955 pbc="T T T"
Tb 2.197 10.228 3.136
Tb 2.197 4.134 3.136
Tb 2.197 -4.134 1.045
Tb 2.197 -10.228 1.045
Ge 2.197 0.977 3.136
Ge 2.197 -0.977 1.045
Sb 2.197 7.231 3.136
Sb 2.197 -7.231 1.045

No. 19
4
Lattice="-2.308 2.308 3.917 2.308 -2.308 3.917 2.308 2.308 -3.917" Properties=species:S:1:pos:R:3 comment="BaAgIr2, optimized geometry, DFT PBE" formation_enthalpy_0k_mev_per_atom=768 rho_g_cm3=12.53 dos_ef_per_ev_cell=6.0 crystal_system=tetragonal pbc="T T T"
Ba 0.000 0.000 0.000
Ag 0.000 2.308 1.959
Ir 2.308 0.000 1.959
Ir 0.000 0.000 3.917

No. 20
5
Lattice="5.375 0.000 0.000 0.000 5.375 0.000 0.000 0.000 5.375" Properties=species:S:1:pos:R:3 comment="HfSc3I, optimized geometry, DFT PBE" rho_g_cm3=4.71 dos_ef_per_ev_cell=8.0 crystal_system=cubic raw_formation_energy_mev_per_atom=732 pbc="T T T"
Hf 0.000 0.000 0.000
Sc 0.000 0.000 2.688
Sc 0.000 2.688 0.000
Sc 2.688 0.000 0.000
I 2.688 2.688 2.688

No. 21
4
Lattice="1.869 1.079 9.364 -1.869 1.079 9.364 0.000 -2.158 9.364" Properties=species:S:1:pos:R:3 comment="YTh2Ni, optimized geometry, DFT PBE" formation_enthalpy_0k_mev_per_atom=-63 rho_g_cm3=8.96 dos_ef_per_ev_cell=6.9 crystal_system=trigonal pbc="T T T"
Y 0.000 0.000 0.000
Th 0.000 0.000 6.410
Th 0.000 0.000 12.186
Ni 0.000 0.000 23.318

No. 22
6
Lattice="0.000 4.324 4.324 4.324 0.000 4.324 4.324 4.324 0.000" Properties=species:S:1:pos:R:3 comment="In4NiTe, optimized geometry, DFT PBE" rho_g_cm3=6.63 dos_ef_per_ev_cell=8.0 crystal_system=cubic raw_formation_energy_mev_per_atom=492 pbc="T T T"
In 1.076 1.076 1.076
In 3.248 3.248 1.076
In 3.248 1.076 3.248
In 1.076 3.248 3.248
Ni 6.487 6.487 6.487
Te 4.324 4.324 4.324

No. 23
3
Lattice="-1.599 1.599 5.053 1.599 -1.599 5.053 1.599 1.599 -5.053" Properties=species:S:1:pos:R:3 comment="HfNbCr, optimized geometry, DFT PBE" formation_enthalpy_0k_mev_per_atom=73 rho_g_cm3=10.39 dos_ef_per_ev_cell=4.1 crystal_system=tetragonal pbc="T T T"
Hf 0.000 0.000 0.000
Nb 0.000 0.000 3.080
Cr 0.000 0.000 6.780

No. 24
3
Lattice="-1.441 1.441 5.153 1.441 -1.441 5.153 1.441 1.441 -5.153" Properties=species:S:1:pos:R:3 comment="ZnTcOs, optimized geometry, DFT PBE" formation_enthalpy_0k_mev_per_atom=32 rho_g_cm3=13.72 dos_ef_per_ev_cell=1.8 crystal_system=tetragonal pbc="T T T"
Zn 0.000 0.000 0.000
Tc 0.000 0.000 6.935
Os 0.000 0.000 3.405

No. 25
12
Lattice="3.007 -5.204 0.000 3.007 5.204 0.000 -1.998 0.000 11.240" Properties=species:S:1:pos:R:3 comment="PrDy2Tm6Sc3, optimized geometry, DFT PBE" formation_enthalpy_0k_mev_per_atom=46 rho_g_cm3=7.62 dos_ef_per_ev_cell=18.0 crystal_system=monoclinic pbc="T T T"
Pr 0.000 0.000 0.000
Dy 3.007 1.734 0.000
Dy 3.007 -1.734 0.000
Tm 1.008 1.737 2.926
Tm 0.006 0.000 8.314
Tm 1.008 -1.737 2.926
Tm 3.007 1.737 8.314
Tm 4.010 0.000 2.927
Tm 3.007 -1.737 8.314
Sc 2.008 3.468 5.620
Sc 2.008 0.000 5.620
Sc 2.008 -3.468 5.620

Energy? In order: -30.47; -32.49; -23.05; -17.96; -162.49; -16.13; -25.22; -19.72; -32.25; -26.34; -53.31; -18.95; -29.13; -90.04; -36.21; -141.44; -49.81; -43.64; -19.43; -26.84; -27.34; -16.93; -29.43; -22.77; -59.26 eV per cell.